Here is CoPd2S after structural relaxation from the Alexandria database. Energies are from GGA-PBE.

Unit cell a=3.7352 b=3.7352 c=17.5515 alpha=90.00 beta=90.00 gamma=90.00
Space group I-42d (No. 122)
Unique sites:
1 Co 0.0000 0.0000 0.0000 [4 per cell]
2 Pd 0.2462 0.2500 0.6250 [8 per cell]
3 S 0.0000 0.0000 0.5000 [4 per cell]

Output
formation energy (no corrections): 258 meV per atom
crystal system: tetragonal